No. 1
# Rb2TcB

A relaxed Rb2TcB crystal (GGA-PBE, the Alexandria database).

Cell and atoms, written as CIF:
```
data_Rb2TcB
_cell_length_a 12.742
_cell_length_b 12.742
_cell_length_c 9.248
_cell_angle_alpha 46.46
_cell_angle_beta 46.46
_cell_angle_gamma 90.00
_space_group_name_H-M_alt 'P 1'
_space_group_IT_number 1
loop_
_space_group_symop_operation_xyz
'x,y,z'
loop_
_atom_site_label
_atom_site_fract_x
_atom_site_fract_y
_atom_site_fract_z
Rb1 0.423 0.125 0.250
Tc1 0.750 0.250 0.500
B1 0.500 0.500 0.000
Rb2 0.875 0.673 0.750
Rb3 0.375 0.577 0.750
B2 0.250 0.750 0.500
Rb4 0.327 0.625 0.250
Tc2 0.000 0.000 0.000
```

## Properties
- Energy above the lowest structure with this stoichiometry: 0.000 eV per atom
- Symmetry: I-42d, No. 122
- Total magnetization: 0.512 μB per atom

No. 2
# Hf2GaCo2

A relaxed Hf2GaCo2 crystal (GGA-PBE, the Alexandria database).

Cell and atoms, written as CIF:
```
data_Hf2GaCo2
_cell_length_a 6.893
_cell_length_b 6.893
_cell_length_c 3.302
_cell_angle_alpha 90.00
_cell_angle_beta 90.00
_cell_angle_gamma 90.00
_space_group_name_H-M_alt 'P 1'
_space_group_IT_number 1
loop_
_space_group_symop_operation_xyz
'x,y,z'
loop_
_atom_site_label
_atom_site_fract_x
_atom_site_fract_y
_atom_site_fract_z
Hf1 0.672 0.828 0.500
Hf2 0.828 0.328 0.500
Co1 0.129 0.371 0.000
Hf3 0.172 0.672 0.500
Co2 0.629 0.129 0.000
Hf4 0.328 0.172 0.500
Co3 0.371 0.871 0.000
Ga1 0.500 0.500 0.000
Co4 0.871 0.629 0.000
Ga2 0.000 0.000 0.000
```

## Properties
- Final energy: -39.3 eV/f.u.
- Symmetry: P4/mbm, No. 127
- Total magnetization: 0.000 μB per atom

No. 3
# RbHfNbCo2

A relaxed RbHfNbCo2 crystal (GGA-PBE, the Alexandria database).

Cell and atoms, written as CIF:
```
data_RbHfNbCo2
_cell_length_a 4.578
_cell_length_b 5.255
_cell_length_c 4.578
_cell_angle_alpha 90.00
_cell_angle_beta 90.00
_cell_angle_gamma 90.00
_space_group_name_H-M_alt 'P 1'
_space_group_IT_number 1
loop_
_space_group_symop_operation_xyz
'x,y,z'
loop_
_atom_site_label
_atom_site_fract_x
_atom_site_fract_y
_atom_site_fract_z
Hf1 0.000 0.000 0.000
Co1 0.500 0.000 0.000
Rb1 0.000 0.500 0.000
Co2 0.000 0.000 0.500
Nb1 0.500 0.500 0.500
```

## Properties
- Final energy: -24.8 eV/f.u.
- Symmetry: P4/mmm, No. 123
- Total magnetization: 0.173 μB per atom

No. 4
# CdAg2RuF8

A relaxed CdAg2RuF8 crystal (GGA-PBE, the Alexandria database).

Cell and atoms, written as CIF:
```
data_CdAg2RuF8
_cell_length_a 5.084
_cell_length_b 5.502
_cell_length_c 7.045
_cell_angle_alpha 90.00
_cell_angle_beta 90.00
_cell_angle_gamma 91.89
_space_group_name_H-M_alt 'P 1'
_space_group_IT_number 1
loop_
_space_group_symop_operation_xyz
'x,y,z'
loop_
_atom_site_label
_atom_site_fract_x
_atom_site_fract_y
_atom_site_fract_z
F1 0.721 0.755 0.000
F2 0.697 0.723 0.500
F3 0.829 0.175 0.212
Ru1 0.000 0.000 0.000
F4 0.171 0.825 0.788
F5 0.171 0.825 0.212
Cd1 0.000 0.000 0.500
F6 0.279 0.245 0.000
Ag1 0.500 0.500 0.752
F7 0.303 0.277 0.500
F8 0.829 0.175 0.788
Ag2 0.500 0.500 0.248
```

## Properties
- Final energy: -50.1 eV/f.u.
- Symmetry: P2/m, No. 10
- Total magnetization: 0.167 μB per atom

No. 5
# YPaP2Rh5

A relaxed YPaP2Rh5 crystal (GGA-PBE, the Alexandria database).

Cell and atoms, written as CIF:
```
data_YPaP2Rh5
_cell_length_a 4.019
_cell_length_b 4.019
_cell_length_c 10.750
_cell_angle_alpha 90.00
_cell_angle_beta 90.00
_cell_angle_gamma 90.00
_space_group_name_H-M_alt 'P 1'
_space_group_IT_number 1
loop_
_space_group_symop_operation_xyz
'x,y,z'
loop_
_atom_site_label
_atom_site_fract_x
_atom_site_fract_y
_atom_site_fract_z
Rh1 0.000 0.500 0.815
Rh2 0.000 0.500 0.185
Rh3 0.500 0.000 0.185
Rh4 0.000 0.000 0.500
P1 0.000 0.000 0.709
Rh5 0.500 0.000 0.815
P2 0.000 0.000 0.291
Pa1 0.000 0.000 0.000
Y1 0.500 0.500 0.500
```

## Properties
- Final energy: -69.3 eV/f.u.
- Symmetry: P4/mmm, No. 123
- Total magnetization: 0.000 μB per atom

No. 6
# CdPbCl

A relaxed CdPbCl crystal (GGA-PBE, the Alexandria database).

Cell and atoms, written as CIF:
```
data_CdPbCl
_cell_length_a 7.877
_cell_length_b 7.494
_cell_length_c 3.577
_cell_angle_alpha 82.59
_cell_angle_beta 70.64
_cell_angle_gamma 26.77
_space_group_name_H-M_alt 'P 1'
_space_group_IT_number 1
loop_
_space_group_symop_operation_xyz
'x,y,z'
loop_
_atom_site_label
_atom_site_fract_x
_atom_site_fract_y
_atom_site_fract_z
Pb1 0.661 0.661 0.339
Cl1 0.353 0.353 0.647
Cd1 0.986 0.986 0.014
```

## Properties
- Energy above the lowest structure with this stoichiometry: 0.041 eV per atom
- Symmetry: Fmm2, No. 42
- Total magnetization: 0.000 μB per atom